No. 1
KDySe4 PBE optimized geometry; crystal system = tetragonal
1.0
6.268 0.000 0.000
0.000 6.268 0.000
0.000 0.000 8.394
K Dy Se
2 2 8
direct
0.000 0.000 0.000
0.500 0.500 0.000
0.000 0.000 0.500
0.500 0.500 0.500
0.137 0.637 0.706
0.363 0.863 0.294
0.637 0.137 0.294
0.137 0.363 0.294
0.637 0.863 0.706
0.863 0.637 0.294
0.863 0.363 0.706
0.363 0.137 0.706

***

No. 2
KDySnSe3 PBE optimized geometry; crystal system = orthorhombic; energy relative to the lowest polymorph listed for this composition = 0.0 meV per atom
1.0
15.463 0.000 0.000
0.000 4.179 0.000
0.000 0.000 12.182
Dy Se K Sn
4 12 4 4
direct
0.995 0.750 0.355
0.495 0.750 0.145
0.005 0.250 0.645
0.505 0.250 0.855
0.365 0.750 0.320
0.397 0.250 0.043
0.911 0.750 0.766
0.411 0.750 0.734
0.635 0.250 0.680
0.089 0.250 0.234
0.897 0.250 0.457
0.103 0.750 0.543
0.603 0.750 0.957
0.865 0.750 0.180
0.135 0.250 0.820
0.589 0.250 0.266
0.767 0.250 0.902
0.733 0.750 0.402
0.267 0.250 0.598
0.233 0.750 0.098
0.458 0.250 0.410
0.958 0.250 0.090
0.042 0.750 0.910
0.542 0.750 0.590

***

No. 3
KDySnSe3 PBE optimized geometry; crystal system = orthorhombic; energy relative to the lowest polymorph listed for this composition = 116.6 meV per atom
1.0
5.144 2.227 6.564
-6.648 1.407 -5.322
-7.218 -5.568 7.545
Se Dy K Sn
6 2 2 2
direct
0.007 0.993 0.750
0.993 0.007 0.250
0.617 0.383 0.997
0.383 0.617 0.003
0.383 0.617 0.497
0.617 0.383 0.503
0.000 0.000 0.500
0.000 0.000 0.000
0.681 0.319 0.250
0.319 0.681 0.750
0.381 0.619 0.250
0.619 0.381 0.750

***

No. 4
KDyTeSe PBE optimized geometry; crystal system = trigonal
1.0
5.583 -2.687 5.633
7.834 -2.222 1.950
6.995 1.240 4.433
Dy Te K Se
1 1 1 1
direct
0.006 0.006 0.006
0.264 0.264 0.264
0.496 0.496 0.496
0.735 0.735 0.735

***

No. 5
KDyZnSe3 PBE optimized geometry; crystal system = monoclinic
1.0
8.902 0.000 0.000
0.000 4.136 0.000
-3.139 0.000 9.508
Dy Se Zn K
2 6 2 2
direct
0.676 0.250 0.138
0.324 0.750 0.862
0.211 0.750 0.542
0.096 0.250 0.855
0.539 0.250 0.843
0.461 0.750 0.157
0.904 0.750 0.145
0.789 0.250 0.458
0.918 0.750 0.392
0.082 0.250 0.608
0.220 0.250 0.247
0.780 0.750 0.753

***

No. 6
KDyZnSe3 PBE optimized geometry; crystal system = monoclinic
1.0
-6.637 3.194 -5.951
-5.492 -0.440 -7.700
-4.770 -4.329 5.871
Se K Dy Zn
6 2 2 2
direct
0.664 0.664 0.792
0.500 0.500 0.000
0.336 0.336 0.208
0.326 0.326 0.645
0.000 0.000 0.500
0.674 0.674 0.355
0.860 0.860 0.932
0.140 0.140 0.068
0.830 0.830 0.428
0.170 0.170 0.572
0.528 0.528 0.733
0.472 0.472 0.267

***

No. 7
KSmDy PBE optimized geometry; crystal system = cubic; energy relative to the lowest polymorph listed for this composition = 0.0 meV per atom
1.0
4.628 -2.595 2.607
1.084 0.958 5.732
-0.867 -4.326 3.936
Sm Dy K
1 1 1
direct
0.000 0.000 0.000
0.250 0.250 0.250
0.750 0.750 0.750

***

No. 8
KDySn PBE optimized geometry; crystal system = cubic
1.0
0.000 3.712 3.712
3.712 0.000 3.712
3.712 3.712 0.000
Sn K Dy
1 1 1
direct
0.000 0.000 0.000
0.250 0.250 0.250
0.500 0.500 0.500

***

No. 9
KDySnTe3 PBE optimized geometry; crystal system = orthorhombic; energy relative to the lowest polymorph listed for this composition = 0.0 meV per atom
1.0
16.563 0.000 0.000
0.000 4.426 0.000
0.000 0.000 12.607
K Te Sn Dy
4 12 4 4
direct
0.771 0.750 0.082
0.229 0.250 0.918
0.729 0.250 0.582
0.271 0.750 0.418
0.092 0.750 0.766
0.592 0.750 0.734
0.892 0.750 0.540
0.608 0.250 0.040
0.392 0.750 0.960
0.908 0.250 0.234
0.139 0.750 0.170
0.639 0.750 0.330
0.108 0.250 0.460
0.861 0.250 0.830
0.361 0.250 0.670
0.408 0.250 0.266
0.962 0.750 0.918
0.038 0.250 0.082
0.462 0.750 0.582
0.538 0.250 0.418
0.009 0.750 0.351
0.509 0.750 0.149
0.991 0.250 0.649
0.491 0.250 0.851

***

No. 10
KDySnTe3 PBE optimized geometry; crystal system = orthorhombic; energy relative to the lowest polymorph listed for this composition = 125.3 meV per atom
1.0
-4.296 4.159 -6.794
0.255 -5.850 6.901
-3.623 9.163 7.900
Te K Sn Dy
6 2 2 2
direct
0.878 0.122 0.500
0.500 0.500 0.250
0.122 0.878 0.500
0.500 0.500 0.750
0.122 0.878 0.000
0.878 0.122 0.000
0.800 0.200 0.750
0.200 0.800 0.250
0.887 0.113 0.250
0.113 0.887 0.750
0.500 0.500 0.000
0.500 0.500 0.500

***

No. 11
KDyTa PBE optimized geometry; crystal system = cubic
1.0
1.458 -4.875 0.346
-3.002 -3.695 -1.829
1.370 -2.556 -4.196
K Ta Dy
1 1 1
direct
0.250 0.250 0.250
0.000 0.000 0.000
0.500 0.500 0.500

***

No. 12
KTbDy PBE optimized geometry; crystal system = cubic
1.0
1.579 -2.516 4.818
-3.489 -0.020 4.457
-2.489 -4.817 1.624
K Dy Tb
1 1 1
direct
0.000 0.000 0.000
0.250 0.250 0.250
0.750 0.750 0.750

***

The following total DFT energy (no corrections) values (in eV per cell) correspond, in order, to the records above: -53.225; -111.687; -54.445; -18.599; -51.486; -49.736; -6.889; -8.124; -100.452; -48.723; -10.768; -6.510.